First-principles (PBE-GGA) data for Ta2AsAu after structural relaxation, as listed in Alexandria via LeMat-Bulk.

Total magnetization (μB/f.u.): 0.00
DFT total energy (hartree per atom): -0.286
DFT formation energy (eV/atom): 0.12

a b c (Å): 5.275 5.275 5.275
angles (deg): 135.76 135.76 64.34
Element x y z (fractional)
1 Ta 0.000 0.000 0.000
2 Ta 0.250 0.750 0.500
3 Au 0.750 0.250 0.500
4 As 0.500 0.500 0.000

=====

First-principles (PBE-GGA) data for SrScCdSn after structural relaxation, as listed in Alexandria via LeMat-Bulk.

Total magnetization (μB/f.u.): 0.00
DFT total energy (hartree per atom): -0.132
DFT formation energy (eV/atom): -0.36

a b c (Å): 5.360 5.360 5.360
angles (deg): 60.00 60.00 60.00
Element x y z (fractional)
1 Cd 0.750 0.750 0.750
2 Sc 0.000 0.000 0.000
3 Sn 0.250 0.250 0.250
4 Sr 0.500 0.500 0.500

=====

First-principles (PBE-GGA) data for UBeN2 after structural relaxation, as listed in Alexandria via LeMat-Bulk.

Total magnetization (μB/f.u.): 2.00
DFT total energy (hartree per atom): -0.327

a b c (Å): 3.624 3.624 5.569
angles (deg): 71.01 71.01 60.00
Last column: magnetic moment on the atom in μB.
Element x y z (fractional)
1 U 0.500 0.500 0.500  1.87
2 N 0.100 0.100 0.701  -0.06
3 N 0.900 0.900 0.299  -0.06
4 Be 0.000 0.000 0.000  0.02

=====

First-principles (PBE-GGA) data for Nd6Ho2ErMg after structural relaxation, as listed in Alexandria via LeMat-Bulk.

Total magnetization (μB/f.u.): 0.00
DFT total energy (hartree per atom): -0.157
DFT formation energy (eV/atom): 0.12

a b c (Å): 9.625 8.814 8.814
angles (deg): 116.14 94.36 94.36
Element x y z (fractional)
1 Nd 0.111 0.703 0.502
2 Nd 0.050 0.122 0.762
3 Nd 0.389 0.498 0.297
4 Nd 0.694 0.000 0.566
5 Nd 0.889 0.297 0.498
6 Nd 0.194 0.566 0.000
7 Nd 0.611 0.502 0.703
8 Nd 0.450 0.238 0.878
9 Nd 0.550 0.762 0.122
10 Nd 0.950 0.878 0.238
11 Nd 0.806 0.434 0.000
12 Nd 0.306 0.000 0.434
13 Mg 0.250 0.409 0.591
14 Mg 0.750 0.591 0.409
15 Ho 0.947 0.705 0.803
16 Ho 0.553 0.197 0.295
17 Ho 0.447 0.803 0.705
18 Ho 0.053 0.295 0.197
19 Er 0.750 0.022 0.978
20 Er 0.250 0.978 0.022

=====

First-principles (PBE-GGA) data for MgAlW2 after structural relaxation, as listed in Alexandria via LeMat-Bulk.

Total magnetization (μB/f.u.): 0.00
DFT total energy (hartree per atom): -0.279
DFT formation energy (eV/atom): 0.22

a b c (Å): 5.260 5.260 5.260
angles (deg): 143.16 131.25 62.64
Element x y z (fractional)
1 W 0.504 0.504 0.000
2 W 0.996 0.996 0.000
3 Al 0.750 0.250 0.500
4 Mg 0.250 0.750 0.500

=====

First-principles (PBE-GGA) data for Hf2PaTi after structural relaxation, as listed in Alexandria via LeMat-Bulk.

Total magnetization (μB/f.u.): 0.00
DFT total energy (hartree per atom): -0.339
DFT formation energy (eV/atom): 0.09

a b c (Å): 3.072 3.072 9.220
angles (deg): 90.00 90.00 90.00
Element x y z (fractional)
1 Ti 0.500 0.500 0.000
2 Pa 0.500 0.500 0.500
3 Hf 0.000 0.000 0.771
4 Hf 0.000 0.000 0.229

=====

First-principles (PBE-GGA) data for CoTcNi2 after structural relaxation, as listed in Alexandria via LeMat-Bulk.

Total magnetization (μB/f.u.): 2.20
DFT total energy (hartree per atom): -0.244
DFT formation energy (eV/atom): 0.62

a b c (Å): 6.451 6.451 5.177
angles (deg): 51.46 51.46 90.00
Last column: magnetic moment on the atom in μB.
Element x y z (fractional)
1 Ni 0.875 0.863 0.750  0.24
2 Ni 0.375 0.387 0.750  0.24
3 Ni 0.613 0.125 0.250  0.25
4 Ni 0.137 0.625 0.250  0.25
5 Co 0.500 0.500 0.000  1.25
6 Co 0.250 0.750 0.500  1.23
7 Tc 0.000 0.000 0.000  0.47
8 Tc 0.750 0.250 0.500  0.47

=====

First-principles (PBE-GGA) data for TiCrFeIr after structural relaxation, as listed in Alexandria via LeMat-Bulk.

Total magnetization (μB/f.u.): 2.95
DFT total energy (hartree per atom): -0.329
DFT formation energy (eV/atom): -0.24

a b c (Å): 4.241 4.241 4.241
angles (deg): 60.00 60.00 60.00
Last column: magnetic moment on the atom in μB.
Element x y z (fractional)
1 Ti 0.250 0.250 0.250  -0.29
2 Cr 0.750 0.750 0.750  1.56
3 Fe 0.000 0.000 0.000  1.65
4 Ir 0.500 0.500 0.500  0.04

=====

First-principles (PBE-GGA) data for Hf8InTe2 after structural relaxation, as listed in Alexandria via LeMat-Bulk.

Total magnetization (μB/f.u.): 0.00
DFT total energy (hartree per atom): -0.298

a b c (Å): 5.360 7.570 7.570
angles (deg): 118.09 100.57 100.57
Element x y z (fractional)
1 Hf 0.866 0.686 0.909
2 Hf 0.134 0.091 0.314
3 Hf 0.866 0.909 0.686
4 Hf 0.313 0.593 0.593
5 Hf 0.500 0.232 0.768
6 Hf 0.687 0.407 0.407
7 Hf 0.500 0.768 0.232
8 Hf 0.134 0.314 0.091
9 In 0.500 0.000 0.000
10 Te 0.000 0.305 0.695
11 Te 0.000 0.695 0.305

=====

First-principles (PBE-GGA) data for ScCr2Hg after structural relaxation, as listed in Alexandria via LeMat-Bulk.

Total magnetization (μB/f.u.): 2.11
DFT total energy (hartree per atom): -0.216
DFT formation energy (eV/atom): 0.60

a b c (Å): 5.325 5.325 2.849
angles (deg): 78.80 78.80 118.10
Last column: magnetic moment on the atom in μB.
Element x y z (fractional)
1 Sc 0.000 0.500 0.500  -0.03
2 Cr 0.500 0.500 0.000  1.01
3 Cr 0.000 0.000 0.000  1.01
4 Hg 0.500 0.000 0.500  -0.01

=====

First-principles (PBE-GGA) data for CuOsRu2 after structural relaxation, as listed in Alexandria via LeMat-Bulk.

Total magnetization (μB/f.u.): 0.00
DFT total energy (hartree per atom): -0.302
DFT formation energy (eV/atom): 0.26

a b c (Å): 4.669 4.669 4.629
angles (deg): 80.51 80.51 33.58
Element x y z (fractional)
1 Ru 0.001 0.001 0.010
2 Ru 0.745 0.745 0.742
3 Cu 0.500 0.500 0.504
4 Os 0.254 0.254 0.244

=====

First-principles (PBE-GGA) data for InIr3Se after structural relaxation, as listed in Alexandria via LeMat-Bulk.

Total magnetization (μB/f.u.): 2.55
DFT total energy (hartree per atom): -0.161

a b c (Å): 4.895 4.895 4.895
angles (deg): 90.00 90.00 90.00
Last column: magnetic moment on the atom in μB.
Element x y z (fractional)
1 In 0.000 0.000 0.000  -0.03
2 Se 0.500 0.500 0.500  0.11
3 Ir 0.000 0.500 0.000  0.89
4 Ir 0.000 0.000 0.500  0.78
5 Ir 0.500 0.000 0.000  0.70